No. 1
{
  "formula": "TlRe2Pt",
  "functional": "PBE",
  "state": "optimized geometry",
  "ef_ev_per_atom": 0.4422,
  "dos_at_fermi_per_ev_cell": 3.208,
  "m_tot_mub_per_atom": 0.000,
  "cell": [[2.8710, 0.0000, 0.0000], [0.0000, 3.9358, 0.0000], [0.0000, 0.0000, 6.0540]],
  "species": ["Re", "Pt", "Re", "Tl"],
  "frac_coords": [[0.5000, 0.5000, 0.2048], [0.5000, 0.5000, 0.7616], [0.0000, 0.0000, 0.0276], [0.0000, 0.0000, 0.5059]]
}

No. 2
{
  "formula": "Tl2RePt",
  "functional": "PBE",
  "state": "optimized geometry",
  "ef_ev_per_atom": 0.7611,
  "dos_at_fermi_per_ev_cell": 2.203,
  "m_tot_mub_per_atom": 0.000,
  "cell": [[-0.2059, 3.2160, -4.7129], [2.0632, -5.2499, -0.8825], [-1.9943, -1.3288, -1.7555]],
  "species": ["Tl", "Tl", "Re", "Pt"],
  "frac_coords": [[0.5000, 0.5000, 0.0000], [0.0000, 0.0000, 0.0000], [0.0000, 0.5000, 0.5000], [0.5000, 0.0000, 0.5000]]
}

No. 3
{
  "formula": "Tl2RePt",
  "functional": "PBE",
  "state": "optimized geometry",
  "ef_ev_per_atom": 0.4410,
  "dos_at_fermi_per_ev_cell": 3.582,
  "m_tot_mub_per_atom": 0.000,
  "cell": [[-0.6739, -2.8093, 0.7337], [2.8728, -0.7545, -0.2502], [1.3814, 2.1319, 9.4321]],
  "species": ["Re", "Pt", "Tl", "Tl"],
  "frac_coords": [[0.5000, 0.5000, 0.7116], [0.0000, 0.0000, 0.5485], [0.0000, 0.0000, 0.9546], [0.5000, 0.5000, 0.2854]]
}

No. 4
{
  "formula": "TlRePt2",
  "functional": "PBE",
  "state": "optimized geometry",
  "ef_ev_per_atom": 0.1251,
  "dos_at_fermi_per_ev_cell": 2.932,
  "m_tot_mub_per_atom": 0.000,
  "cell": [[2.8667, -0.0047, 0.0000], [0.0048, 2.8667, 0.0000], [0.0000, 0.0000, 8.6070]],
  "species": ["Re", "Pt", "Tl", "Pt"],
  "frac_coords": [[0.5000, 0.5000, 0.2500], [0.0000, 0.0000, 0.0375], [0.5000, 0.5000, 0.7500], [0.0000, 0.0000, 0.4625]]
}

No. 5
{
  "formula": "TlRe2Pt",
  "functional": "PBE",
  "state": "optimized geometry",
  "ef_ev_per_atom": 1.8951,
  "dos_at_fermi_per_ev_cell": 7.730,
  "m_tot_mub_per_atom": 0.000,
  "cell": [[-2.6574, -5.6588, -0.9256], [5.3725, -2.1008, -2.5813], [2.9442, -5.3624, 2.7556]],
  "species": ["Re", "Pt", "Re", "Re", "Re", "Pt", "Tl", "Tl"],
  "frac_coords": [[0.3750, 0.4153, 0.7500], [0.2500, 0.7500, 0.5000], [0.5847, 0.1250, 0.2500], [0.1653, 0.6250, 0.2500], [0.8750, 0.8347, 0.7500], [0.5000, 0.5000, 0.0000], [0.7500, 0.2500, 0.5000], [0.0000, 0.0000, 0.0000]]
}

No. 6
{
  "formula": "TlRe2Pt",
  "functional": "PBE",
  "state": "optimized geometry",
  "ef_ev_per_atom": 0.7653,
  "dos_at_fermi_per_ev_cell": 4.831,
  "m_tot_mub_per_atom": 0.000,
  "cell": [[2.8221, 0.0104, 0.0000], [-0.0103, 2.8221, 0.0000], [0.0000, 0.0000, 8.4840]],
  "species": ["Pt", "Re", "Tl", "Re"],
  "frac_coords": [[0.5000, 0.5000, 0.7500], [0.0000, 0.0000, 0.9786], [0.5000, 0.5000, 0.2500], [0.0000, 0.0000, 0.5214]]
}

No. 7
{
  "formula": "Tl2RePt",
  "functional": "PBE",
  "state": "optimized geometry",
  "ef_ev_per_atom": 0.9588,
  "dos_at_fermi_per_ev_cell": 2.342,
  "m_tot_mub_per_atom": 0.670,
  "cell": [[4.8562, 0.0000, 0.0000], [2.4281, 4.2056, 0.0000], [2.4281, 1.4019, 3.9650]],
  "species": ["Tl", "Pt", "Re", "Tl"],
  "frac_coords": [[0.2500, 0.2500, 0.2500], [0.5000, 0.5000, 0.5000], [0.7500, 0.7500, 0.7500], [0.0000, 0.0000, 0.0000]]
}

No. 8
{
  "formula": "TlRePt",
  "functional": "PBE",
  "state": "optimized geometry",
  "ef_ev_per_atom": 0.4789,
  "dos_at_fermi_per_ev_cell": 1.345,
  "m_tot_mub_per_atom": 0.000,
  "cell": [[6.6412, 0.0090, -0.0095], [5.9946, 2.8585, -0.0140], [0.6465, 0.1518, 2.8455]],
  "species": ["Re", "Pt", "Tl"],
  "frac_coords": [[0.6521, 0.6521, 0.3479], [0.0173, 0.0173, 0.9827], [0.3306, 0.3306, 0.6694]]
}

No. 9
{
  "formula": "TlRe2Pt",
  "functional": "PBE",
  "state": "optimized geometry",
  "ef_ev_per_atom": 0.8070,
  "dos_at_fermi_per_ev_cell": 5.443,
  "m_tot_mub_per_atom": 0.000,
  "cell": [[5.1043, -0.0007, 0.0000], [-2.2216, 4.5955, 0.0000], [0.0000, 0.0000, 2.8687]],
  "species": ["Re", "Tl", "Pt", "Re"],
  "frac_coords": [[0.0000, 0.0000, 0.0000], [0.5000, 0.0000, 0.5000], [0.0000, 0.5000, 0.5000], [0.5000, 0.5000, 0.0000]]
}

No. 10
{
  "formula": "TlRe2Pt",
  "functional": "PBE",
  "state": "optimized geometry",
  "ef_ev_per_atom": 0.3067,
  "dos_at_fermi_per_ev_cell": 2.680,
  "m_tot_mub_per_atom": 0.000,
  "cell": [[-1.1826, -2.1543, 1.5354], [2.5608, -0.5099, 1.2569], [-1.8739, 5.2747, 5.9575]],
  "species": ["Re", "Tl", "Re", "Pt"],
  "frac_coords": [[0.5000, 0.5000, 0.2158], [0.0000, 0.0000, 0.4945], [0.0000, 0.0000, 0.0152], [0.5000, 0.5000, 0.7745]]
}

No. 11
{
  "formula": "TlRePt2",
  "functional": "PBE",
  "state": "optimized geometry",
  "ef_ev_per_atom": 0.4848,
  "dos_at_fermi_per_ev_cell": 4.574,
  "m_tot_mub_per_atom": 0.000,
  "cell": [[4.9016, 0.0096, 0.0000], [1.3752, 4.7048, 0.0000], [-3.1384, -2.3572, 2.9360]],
  "species": ["Re", "Tl", "Pt", "Pt"],
  "frac_coords": [[0.5000, 0.5000, 0.0000], [0.7500, 0.2500, 0.5000], [0.2500, 0.7500, 0.5000], [0.0000, 0.0000, 0.0000]]
}

No. 12
{
  "formula": "TlRePt2",
  "functional": "PBE",
  "state": "optimized geometry",
  "ef_ev_per_atom": 0.3795,
  "dos_at_fermi_per_ev_cell": 2.300,
  "m_tot_mub_per_atom": 0.000,
  "cell": [[4.8255, 0.0074, -0.0117], [3.9629, 2.7534, -0.0117], [0.6354, 0.1996, 5.1919]],
  "species": ["Re", "Tl", "Pt", "Pt"],
  "frac_coords": [[0.7500, 0.7500, 0.7500], [0.2500, 0.2500, 0.2500], [0.4917, 0.4917, 0.5254], [0.0083, 0.0083, 0.9746]]
}

No. 13
{
  "formula": "TlRePt",
  "functional": "PBE",
  "state": "optimized geometry",
  "ef_ev_per_atom": 0.4493,
  "dos_at_fermi_per_ev_cell": 1.167,
  "m_tot_mub_per_atom": 0.000,
  "cell": [[-2.5226, -6.1160, -0.6967], [-0.6371, -5.7554, -4.3466], [3.3713, 5.4269, 3.4069]],
  "species": ["Pt", "Tl", "Re"],
  "frac_coords": [[0.1124, 0.9781, 0.1344], [0.5310, 0.6743, 0.8566], [0.3566, 0.3476, 0.0090]]
}

No. 14
{
  "formula": "Tl2RePt",
  "functional": "PBE",
  "state": "optimized geometry",
  "ef_ev_per_atom": 0.8059,
  "dos_at_fermi_per_ev_cell": 4.326,
  "m_tot_mub_per_atom": 0.000,
  "cell": [[3.4067, 0.0000, 0.0000], [0.0000, 3.4067, 0.0000], [0.0000, 0.0000, 6.5303]],
  "species": ["Re", "Pt", "Tl", "Tl"],
  "frac_coords": [[0.5000, 0.5000, 0.7500], [0.5000, 0.5000, 0.2500], [0.0000, 0.0000, 0.9972], [0.0000, 0.0000, 0.5028]]
}

No. 15
{
  "formula": "Tl2RePt",
  "functional": "PBE",
  "state": "optimized geometry",
  "ef_ev_per_atom": 0.7276,
  "dos_at_fermi_per_ev_cell": 3.282,
  "m_tot_mub_per_atom": 0.067,
  "cell": [[9.3073, 0.0034, 0.0020], [8.7865, 3.0698, 0.0020], [8.7865, 1.4924, 2.6826]],
  "species": ["Pt", "Tl", "Re", "Tl"],
  "frac_coords": [[0.2500, 0.2500, 0.2500], [0.9994, 0.9994, 0.9994], [0.7500, 0.7500, 0.7500], [0.5006, 0.5006, 0.5006]]
}